Entry from Alexandria: crystalline Y6Bi5Sb at its relaxed geometry (PBE).

Cell: 7.7383 13.4068 7.7301 Å, 90.00 109.45 90.00°
With the nearest neighbours (Å) after each atom.
Space group C2/m (No. 12)
One atom of each set of equivalent atoms:
Y  0.2461  0.0000  0.2512 x4  1 Sb 3.12, 5 Bi 3.17-3.19
Y  0.2470  0.1646  0.7474 x8  1 Sb 3.12, 5 Bi 3.15-3.18
Bi  0.0000  0.1683  0.0000 x4  6 Y 3.15-3.18
Bi  0.0000  0.3336  0.5000 x4  6 Y 3.16-3.17
Bi  0.0000  0.5000  0.0000 x2  6 Y 3.16-3.19
Sb  0.0000  0.0000  0.5000 x2  6 Y 3.12

* DOS at the Fermi energy: 4.4 states/eV/cell
* E_tot: -6.134 eV per atom
* total moment: 0.00 μB per atom
* density: 7.47 g/cm³
* raw formation energy: -21.712 kcal/mol of atoms